a | 6
Lattice="3.9843 -0.0011 0.0000 -1.9916 3.4508 0.0000 0.0000 0.0000 8.4591" Properties=species:S:1:pos:R:3 comment="PrBeIr | Alexandria via LeMat-Bulk | GGA-PBE | relaxed" space_group=P6_3/mmc rho_kg_m3=9771 pbc="T T T"
Pr -0.9958 1.7254 4.2295
Pr -0.9958 1.7254 0.0000
Be 0.9954 2.8755 6.3443
Be 0.9972 0.5741 2.1148
Ir 0.9954 0.5752 6.3443
Ir 0.9973 2.8745 2.1148


b | 12
Lattice="-5.3133 2.6265 4.8368 -4.0246 -0.6910 -4.0459 0.8184 -5.7869 0.1742" Properties=species:S:1:pos:R:3 comment="PrBeIr | Alexandria via LeMat-Bulk | GGA-PBE | relaxed" space_group=P2_1/c rho_kg_m3=9730 pbc="T T T"
Pr -7.0576 0.7426 1.7517
Pr -3.1492 -3.1143 2.6062
Pr -1.4619 -4.5940 -0.7866
Pr -5.3703 -0.7371 -1.6412
Be -4.3774 -3.3882 -0.3108
Be -0.6165 -1.6273 -0.2690
Be -4.1421 -0.4632 1.2758
Be -7.9030 -2.2241 1.2340
Ir -4.1933 -3.7303 -2.5143
Ir -2.8494 -1.6369 -0.1251
Ir -4.3262 -0.1211 3.4794
Ir -5.6701 -2.2145 1.0901


a (61 meV/atom below the next structure)


a | 3
Lattice="-3.1714 1.6678 -2.2791 1.6965 -1.3360 -3.3383 -2.6047 -2.2796 1.9562" Properties=species:S:1:pos:R:3 comment="PrBeIr | Alexandria via LeMat-Bulk | GGA-PBE | relaxed" space_group=P-6m2 rho_kg_m3=9773 pbc="T T T"
Pr -3.2851 -0.8532 -1.3280
Be -0.2659 -1.3725 -1.9535
Ir -0.5285 0.2779 -0.3798


b | 12
Lattice="-4.8548 -0.6821 3.5832 0.2398 -5.0396 -3.3791 5.8572 0.1509 4.1915" Properties=species:S:1:pos:R:3 comment="PrBeIr | Alexandria via LeMat-Bulk | GGA-PBE | relaxed" space_group=Fddd rho_kg_m3=10322 pbc="T T T"
Pr -1.4800 -2.2784 2.0202
Pr 3.8760 -1.8619 2.3244
Pr 1.4486 -2.2030 4.1160
Pr -1.3601 -4.7982 0.3307
Be 2.5248 -4.4137 -0.4039
Be -4.2247 -1.2210 2.7221
Be 1.2646 -3.3358 1.3183
Be -0.3903 -4.5007 -2.5180
Ir 0.7664 -3.0134 -0.9076
Ir 1.1284 -0.8614 1.3648
Ir 0.1138 -4.7094 3.0308
Ir 3.0231 -4.7362 1.8221


a (227 meV/atom below the next structure)


a | 5
Lattice="-4.1147 0.8510 0.1239 -0.6508 -2.6854 -3.1679 1.7609 -2.5341 4.5754" Properties=species:S:1:pos:R:3 comment="PrBe2Ir2 | Alexandria via LeMat-Bulk | GGA-PBE | relaxed" space_group=I4/mmm rho_kg_m3=10981 pbc="T T T"
Pr 0.0000 0.0000 0.0000
Be -2.5805 -2.0147 -0.5511
Be -0.4241 -2.3538 2.0824
Ir -2.3683 -1.3002 1.5886
Ir -0.6363 -3.0683 -0.0572


b | 10
Lattice="5.5903 -0.5775 -0.0045 -2.4397 5.0629 -0.0045 -1.5717 -2.2375 6.2140" Properties=species:S:1:pos:R:3 comment="PrBe2Ir2 | Alexandria via LeMat-Bulk | GGA-PBE | relaxed" space_group=Fddd rho_kg_m3=10806 pbc="T T T"
Pr 2.1865 0.9818 4.6537
Pr -0.6076 1.2660 1.5513
Be -0.8396 -0.2418 4.6583
Be 1.9577 -0.5359 1.5513
Be -0.3788 2.7837 4.6538
Be 2.4185 2.4896 1.5468
Ir 0.6117 -1.2608 3.1777
Ir 0.9676 3.5092 0.0661
Ir 0.9672 3.5086 3.0274
Ir 0.6113 -1.2613 6.1389


a (28 meV/atom below the next structure)


a | 5
Lattice="4.8301 0.0000 0.0000 0.0000 4.8301 0.0000 0.0000 0.0000 4.8301" Properties=species:S:1:pos:R:3 comment="BeIrPt3 | Alexandria via LeMat-Bulk | GGA-PBE | relaxed" space_group=Pm-3m rho_kg_m3=11589 pbc="T T T"
Be 2.4151 2.4151 2.4151
Ir 0.0000 0.0000 0.0000
Pt 0.0000 2.4151 0.0000
Pt 0.0000 0.0000 2.4151
Pt 2.4151 0.0000 0.0000


b | 5
Lattice="-3.2177 2.6914 0.0384 -0.4125 -0.4339 -4.1521 -2.6599 -3.1885 0.5974" Properties=species:S:1:pos:R:3 comment="BeIrPt3 | Alexandria via LeMat-Bulk | GGA-PBE | relaxed" space_group=Pm-3m rho_kg_m3=17690 pbc="T T T"
Be 0.0000 0.0000 0.0000
Ir -3.1450 -0.4655 -1.7582
Pt -0.2062 -0.2169 -2.0761
Pt -1.3300 -1.5943 0.2987
Pt -1.6088 1.3457 0.0192


b (1294 meV/atom below the next structure)


a | 10
Lattice="-1.4328 6.5898 0.9897 -1.8830 -1.3714 6.4055 2.5727 0.4319 0.8488" Properties=species:S:1:pos:R:3 comment="Be2Ir2Pt | Alexandria via LeMat-Bulk | GGA-PBE | relaxed" space_group=P4/mbm rho_kg_m3=15571 pbc="T T T"
Be -0.1964 0.3821 4.8343
Be -1.2396 3.4390 6.4407
Be -0.5467 5.2682 3.4097
Be 0.4964 2.2113 1.8033
Ir -2.1503 1.2166 5.8987
Ir -2.4353 4.8257 4.9261
Ir -1.1656 4.0017 1.4966
Ir -0.8805 0.3927 2.4692
Pt 0.0000 0.0000 0.0000
Pt -1.6579 2.6092 3.6976


b | 10
Lattice="-5.9331 -2.7207 -0.6807 2.2256 -5.5367 2.7310 -0.7288 0.9559 2.5317" Properties=species:S:1:pos:R:3 comment="Be2Ir2Pt | Alexandria via LeMat-Bulk | GGA-PBE | relaxed" space_group=P4/mbm rho_kg_m3=16442 pbc="T T T"
Be -0.2731 -5.8550 2.1320
Be -3.7907 -5.8444 1.1154
Be -3.4344 -2.4024 -0.0816
Be 0.0832 -2.4130 0.9350
Ir 0.1271 -3.6741 2.9750
Ir -2.4725 -5.9472 3.0848
Ir -4.5634 -3.6274 1.6071
Ir -1.9637 -1.3543 1.4972
Pt 0.0000 0.0000 0.0000
Pt -1.8538 -4.1287 1.0252


b (176 meV/atom below the next structure)


a | 8
Lattice="5.6649 0.0000 0.0000 0.0000 5.6649 0.0000 2.8325 2.8325 6.3698" Properties=species:S:1:pos:R:3 comment="RbBe2Ir | Alexandria via LeMat-Bulk | GGA-PBE | relaxed" space_group=I4_1/amd rho_kg_m3=4804 pbc="T T T"
Be 5.6648 1.4162 1.5924
Be 5.6650 4.2487 1.5924
Be 4.2487 2.8326 4.7773
Be 7.0811 2.8323 4.7773
Ir 0.0000 0.0000 0.0000
Ir 5.6649 2.8325 3.1849
Rb 2.8325 2.8325 0.0000
Rb 2.8325 5.6649 3.1849


b | 4
Lattice="0.0000 3.2288 3.2288 3.2288 0.0000 3.2288 3.2288 3.2288 0.0000" Properties=species:S:1:pos:R:3 comment="RbBe2Ir | Alexandria via LeMat-Bulk | GGA-PBE | relaxed" space_group=Fm-3m rho_kg_m3=7294 pbc="T T T"
Be 1.6144 1.6144 1.6144
Be 4.8433 4.8433 4.8433
Ir 3.2288 3.2288 3.2288
Rb 0.0000 0.0000 0.0000


a (821 meV/atom below the next structure)